No. 1
## K2CdIn3 (PBE)

Data for a relaxed structure of K2CdIn3.

Cell and atoms, written as POSCAR:
```
K2CdIn3
1.0
6.0655 -2.5955 0.0000
6.0655 2.5955 0.0000
-5.9973 0.0000 6.2551
K Cd In
2 1 3
Cartesian
0.0000 0.0000 0.0000
-2.1835 0.0000 3.9991
8.5286 0.0000 0.2665
3.5284 0.0000 1.4395
1.4346 0.0000 3.6638
6.3842 0.0000 2.5735
```

Values from the calculation:
Formation energy (eV/atom): -0.14

***

No. 2
## Pa2ReW (PBE)

Data for a relaxed structure of Pa2ReW.

Cell and atoms, written as POSCAR:
```
Pa2ReW
1.0
4.9116 0.0000 0.0000
0.0000 4.9116 0.0000
0.0000 0.0000 3.4729
Pa Re W
2 1 1
Cartesian
0.0000 2.4558 0.0000
2.4558 0.0000 0.0000
0.0000 0.0000 1.7364
2.4558 2.4558 1.7364
```

Values from the calculation:
Formation energy (eV/atom): 0.23

***

No. 3
## La2PrNdDy5 (PBE)

Data for a relaxed structure of La2PrNdDy5.

Cell and atoms, written as POSCAR:
```
La2PrNdDy5
1.0
-4.3724 4.3724 7.9338
4.3724 -4.3724 7.9338
4.3724 4.3724 -7.9338
La Pr Nd Dy
4 2 2 10
Cartesian
5.4010 1.0287 0.0000
1.0287 3.3437 0.0000
3.3437 1.0287 7.9338
-1.0287 3.3437 7.9338
0.0000 0.0000 3.9669
0.0000 0.0000 11.9007
4.3724 0.0000 3.9669
0.0000 4.3724 3.9669
0.0000 0.0000 0.0000
2.5100 1.8623 -2.2140
2.5100 -1.8623 5.7198
2.5100 1.8623 2.2140
2.5100 -1.8623 10.1478
0.0000 0.0000 7.9338
1.8623 6.2347 -2.2140
1.8623 2.5100 5.7198
1.8623 6.2347 2.2140
1.8623 2.5100 10.1478
```

Values from the calculation:
Formation energy (eV/atom): 0.24

***

No. 4
## MgMo2Se (PBE)

Data for a relaxed structure of MgMo2Se.

Cell and atoms, written as POSCAR:
```
MgMo2Se
1.0
-1.5568 2.2626 4.8017
1.5568 -2.2626 4.8017
1.5568 2.2626 -4.8017
Mg Mo Se
1 2 1
Cartesian
0.0000 0.0000 0.0000
1.5568 0.0000 2.6644
0.0000 2.2626 2.1373
0.0000 0.0000 4.8017
```

Values from the calculation:
Formation energy (no corrections) (eV/atom): 0.27

***

No. 5
## Sb3HPd (PBE)

Data for a relaxed structure of Sb3HPd.

Cell and atoms, written as POSCAR:
```
Sb3HPd
1.0
4.6345 0.0000 0.0000
0.0000 4.6345 0.0000
0.0000 0.0000 4.6345
Sb H Pd
3 1 1
Cartesian
0.0000 0.0000 2.3172
0.0000 2.3172 0.0000
2.3172 0.0000 0.0000
0.0000 0.0000 0.0000
2.3172 2.3172 2.3172
```

Values from the calculation:
Final energy (eV/atom): -3.786

***

No. 6
## YBrO (PBE)

Data for a relaxed structure of YBrO.

Cell and atoms, written as POSCAR:
```
YBrO
1.0
3.8629 0.0000 0.0000
-1.9313 3.3454 0.0000
-1.9009 -1.1132 10.6575
Y Br O
2 2 2
Cartesian
-0.9505 0.5585 3.8998
0.9811 1.6737 6.7578
-0.9502 2.7888 1.9633
0.9808 -0.5566 8.6942
-0.9502 0.5584 6.1895
0.9808 1.6738 4.4680
```

Values from the calculation:
Formation energy (no corrections) (eV/atom): -2.90